Run P
TmCdNO | GGA-PBE | optimized geometry

```
TmCdNO
1.0
-3.691 0.629 -0.762
-0.707 -3.740 0.339
-1.432 0.972 7.743
N O Tm Cd
2 2 2 2
direct
0.250 0.250 0.683 N
0.750 0.750 0.317 N
0.750 0.250 0.000 O
0.250 0.750 0.000 O
0.250 0.250 0.134 Tm
0.750 0.750 0.866 Tm
0.750 0.250 0.500 Cd
0.250 0.750 0.500 Cd
```

Run Q
TmCdNO | GGA-PBE | optimized geometry

```
TmCdNO
1.0
4.826 0.000 0.000
0.000 4.826 0.000
0.000 0.000 4.589
Cd O N Tm
2 2 2 2
direct
0.000 0.500 0.001 Cd
0.500 0.000 0.999 Cd
0.500 0.500 0.000 O
0.000 0.000 0.000 O
0.500 0.000 0.499 N
0.000 0.500 0.501 N
0.000 0.000 0.500 Tm
0.500 0.500 0.500 Tm
```

Run R
TmCdNO | GGA-PBE | optimized geometry

```
TmCdNO
1.0
-0.135 -6.390 -0.963
4.356 0.905 -6.618
4.046 -0.477 2.598
Cd O Tm N
4 4 4 4
direct
0.069 0.632 0.050 Cd
0.569 0.368 0.050 Cd
0.431 0.632 0.550 Cd
0.931 0.368 0.550 Cd
0.079 0.622 0.551 O
0.579 0.378 0.551 O
0.421 0.622 0.051 O
0.921 0.378 0.051 O
0.571 0.868 0.050 Tm
0.929 0.868 0.550 Tm
0.429 0.132 0.550 Tm
0.071 0.132 0.050 Tm
0.415 0.118 0.051 N
0.585 0.882 0.551 N
0.915 0.882 0.051 N
0.085 0.118 0.551 N
```

Most stable: run Q

Run P
NaNbCdNi | GGA-PBE | optimized geometry

```
NaNbCdNi
1.0
0.000 3.201 3.201
3.201 0.000 3.201
3.201 3.201 0.000
Nb Na Ni Cd
1 1 1 1
direct
0.000 0.000 0.000 Nb
0.750 0.750 0.750 Na
0.250 0.250 0.250 Ni
0.500 0.500 0.500 Cd
```

Run Q
NaNbCdNi | GGA-PBE | optimized geometry

```
NaNbCdNi
1.0
0.000 3.279 3.279
3.279 0.000 3.279
3.279 3.279 0.000
Cd Na Nb Ni
1 1 1 1
direct
0.000 0.000 0.000 Cd
0.750 0.750 0.750 Na
0.250 0.250 0.250 Nb
0.500 0.500 0.500 Ni
```

Most stable: run P

Run P
NaNbCdPt | GGA-PBE | optimized geometry

```
NaNbCdPt
1.0
0.000 3.319 3.319
3.319 0.000 3.319
3.319 3.319 0.000
Na Pt Nb Cd
1 1 1 1
direct
0.750 0.750 0.750 Na
0.500 0.500 0.500 Pt
0.250 0.250 0.250 Nb
0.000 0.000 0.000 Cd
```

Run Q
NaNbCdPt | GGA-PBE | optimized geometry

```
NaNbCdPt
1.0
-0.546 3.415 3.079
-0.113 4.405 -1.424
-3.972 2.378 0.140
Cd Nb Na Pt
1 1 1 1
direct
0.500 0.500 0.500 Cd
0.000 0.000 0.000 Nb
0.750 0.750 0.750 Na
0.250 0.250 0.250 Pt
```

Most stable: run Q